Compound: BeCuC2
Source: Alexandria via LeMat-Bulk
Functional: SCAN
Structure: PBEsol geometry

Unit cell a=3.2733 b=3.2733 c=6.4128 alpha=104.79 beta=104.79 gamma=90.00
With the nearest neighbours (Å) after each atom.
Sites, in units of the cell vectors:
C: 0.7597 0.3750 0.2500  2 Be 1.76, 2 C 1.86
C: 0.4903 0.8750 0.2500  2 Be 1.76, 2 C 1.86
C: 0.1250 0.2403 0.7500  2 Be 1.76, 2 C 1.86
Cu: 0.0000 0.0000 0.0000  4 C 2.08, 4 Be 2.31
Cu: 0.2500 0.7500 0.5000  4 C 2.08, 4 Be 2.31
Be: 0.7500 0.2500 0.5000  4 C 1.76
Be: 0.5000 0.5000 0.0000  4 C 1.76
C: 0.6250 0.5097 0.7500  2 Be 1.76, 2 C 1.86

Summary:
Fermi-level density of states   4.9 states/eV/cell
DFT formation energy   1.26 eV/atom
Total moment   0.00 μB per formula unit

=====

Compound: BeCu2GeC
Source: Alexandria via LeMat-Bulk
Functional: SCAN
Structure: PBEsol geometry

Unit cell a=3.7075 b=4.4953 c=4.4953 alpha=90.00 beta=90.00 gamma=90.00
With the nearest neighbours (Å) after each atom.
Sites, in units of the cell vectors:
Cu: 0.0000 0.0000 0.5000  2 Ge 2.25
Be: 0.5000 0.5000 0.5000  8 Cu 2.91, 4 C 3.18
Cu: 0.0000 0.5000 0.0000  2 Ge 2.25
Ge: 0.0000 0.0000 0.0000  2 C 1.85
C: 0.5000 0.0000 0.0000  2 Ge 1.85

Summary:
Fermi-level density of states   1.7 states/eV/cell
DFT formation energy   1.66 eV/atom
Total moment   0.00 μB per formula unit

=====

Compound: LiBeH8CNOF4
Source: Alexandria via LeMat-Bulk
Functional: SCAN
Structure: PBEsol geometry

Unit cell a=4.7406 b=10.0745 c=12.1791 alpha=101.22 beta=90.00 gamma=90.00
With the nearest neighbours (Å) after each atom.
Sites, in units of the cell vectors:
Li: 0.8240 0.3550 0.5065  4 F 1.84-1.88
F: 0.2019 0.3153 0.4701  1 Be 1.57
O: 0.2545 0.2769 0.0467  2 H 0.99-1.01
H: 0.0762 0.5433 0.8638  1 C 1.10
H: 0.2630 0.4128 0.9146  1 C 1.10
H: 0.5604 0.2447 0.9866  1 O 1.01
Be: 0.8202 0.1280 0.6321  4 F 1.53-1.58
Be: 0.1798 0.8720 0.3679  4 F 1.53-1.58
Li: 0.1760 0.6450 0.4935  4 F 1.84-1.88
H: 0.7519 0.7321 0.8736  1 O 0.99
F: 0.7981 0.6847 0.5299  1 Be 1.57
H: 0.5998 0.1622 0.2760  1 N 1.04
F: 0.1472 0.1149 0.6215  1 Be 1.56
H: 0.5446 0.4549 0.1310  1 C 1.10
H: 0.9002 0.6622 0.2760  1 N 1.04
C: 0.2673 0.4804 0.8538  3 H 1.10
H: 0.5762 0.9567 0.1362  1 C 1.10
Li: 0.6760 0.8550 0.5065  4 F 1.84-1.88
H: 0.0998 0.3378 0.7240  1 N 1.04
O: 0.2455 0.7769 0.0467  2 H 0.99-1.01
Be: 0.6798 0.6280 0.6321  4 F 1.53-1.58
N: 0.2235 0.8997 0.7386  3 H 1.04-1.05
H: 0.5422 0.6607 0.2732  1 N 1.05
F: 0.7019 0.1847 0.5299  1 Be 1.57
N: 0.7765 0.1003 0.2614  3 H 1.04-1.05
H: 0.2519 0.7679 0.1264  1 O 0.99
O: 0.7455 0.7231 0.9533  2 H 0.99-1.01
F: 0.8031 0.4879 0.6340  1 Be 1.53
H: 0.4396 0.7553 0.0134  1 O 1.01
H: 0.2481 0.2679 0.1264  1 O 0.99
C: 0.7673 0.0196 0.1462  3 H 1.10
O: 0.7545 0.2231 0.9533  2 H 0.99-1.01
F: 0.2981 0.8153 0.4701  1 Be 1.57
F: 0.7576 0.2397 0.7394  1 Be 1.58, 2 H 1.65-1.76
Li: 0.3240 0.1450 0.4935  4 F 1.84-1.88
F: 0.3528 0.6149 0.6215  1 Be 1.56
F: 0.6472 0.3851 0.3785  1 Be 1.56
H: 0.9396 0.7447 0.9866  1 O 1.01
H: 0.9554 0.9549 0.1310  1 C 1.10
H: 0.9238 0.4567 0.1362  1 C 1.10
H: 0.9578 0.1607 0.2732  1 N 1.05
N: 0.7235 0.6003 0.2614  3 H 1.04-1.05
F: 0.3031 0.0121 0.3660  1 Be 1.53
H: 0.0422 0.8393 0.7268  1 N 1.05
N: 0.2765 0.3997 0.7386  3 H 1.04-1.05
H: 0.4554 0.5451 0.8690  1 C 1.10
H: 0.2763 0.4642 0.6810  1 N 1.04
C: 0.2327 0.9804 0.8538  3 H 1.10
F: 0.2576 0.2603 0.2606  1 Be 1.58, 2 H 1.65-1.76
F: 0.7424 0.7397 0.7394  1 Be 1.58, 2 H 1.65-1.76
H: 0.2370 0.9128 0.9146  1 C 1.10
F: 0.6969 0.9879 0.6340  1 Be 1.53
F: 0.1969 0.5121 0.3660  1 Be 1.53
H: 0.7763 0.0358 0.3190  1 N 1.04
H: 0.7481 0.2321 0.8736  1 O 0.99
Be: 0.3202 0.3720 0.3679  4 F 1.53-1.58
H: 0.7630 0.0872 0.0854  1 C 1.10
H: 0.0446 0.0451 0.8690  1 C 1.10
H: 0.4578 0.3393 0.7268  1 N 1.05
C: 0.7327 0.5196 0.1462  3 H 1.10
H: 0.2237 0.9642 0.6810  1 N 1.04
H: 0.7237 0.5358 0.3190  1 N 1.04
H: 0.4002 0.8378 0.7240  1 N 1.04
F: 0.8528 0.8851 0.3785  1 Be 1.56
F: 0.2424 0.7603 0.2606  1 Be 1.58, 2 H 1.65-1.76
H: 0.7370 0.5872 0.0854  1 C 1.10
H: 0.4238 0.0433 0.8638  1 C 1.10
H: 0.0604 0.2553 0.0134  1 O 1.01

Summary:
Electronic total energy   -5.886 eV per atom
Fermi-level density of states   0.0 states/eV/cell
Total moment   0.03 μB per formula unit

=====

Compound: BeCN2F
Source: Alexandria via LeMat-Bulk
Functional: SCAN
Structure: PBEsol geometry

Unit cell a=3.1269 b=3.5615 c=3.5615 alpha=90.00 beta=90.00 gamma=90.00
With the nearest neighbours (Å) after each atom.
Sites, in units of the cell vectors:
Be: 0.0000 0.0000 0.0000  2 F 1.56
F: 0.5000 0.0000 0.0000  2 Be 1.56
N: 0.0000 0.0000 0.5000  2 Be 1.78
N: 0.0000 0.5000 0.0000  2 Be 1.78
C: 0.5000 0.5000 0.5000  8 N 2.37, 4 F 2.52

Summary:
Fermi-level density of states   1.9 states/eV/cell
Energy relative to the elements, uncorrected   40.577 kcal/mol of atoms
Total moment   2.60 μB per formula unit

=====

Compound: YBeCF2
Source: Alexandria via LeMat-Bulk
Functional: SCAN
Structure: PBEsol geometry

Unit cell a=4.1571 b=4.1571 c=4.9421 alpha=90.00 beta=90.00 gamma=90.00
With the nearest neighbours (Å) after each atom.
Sites, in units of the cell vectors:
Y: 0.0000 0.0000 0.0000  4 F 2.08
F: 0.0000 0.5000 0.0000  2 Y 2.08
F: 0.5000 0.0000 0.0000  2 Y 2.08
C: 0.0000 0.0000 0.5000  2 Y 2.47
Be: 0.5000 0.5000 0.5000  4 C 2.94, 8 F 3.23

Summary:
Fermi-level density of states   1.0 states/eV/cell
Energy relative to the elements, uncorrected   -20.469 kcal/mol of atoms
Total moment   1.09 μB per formula unit

=====

Compound: BeFeHgC2
Source: Alexandria via LeMat-Bulk
Functional: SCAN
Structure: PBEsol geometry

Unit cell a=4.1972 b=4.1972 c=4.3378 alpha=90.00 beta=90.00 gamma=90.00
With the nearest neighbours (Å) after each atom.
Sites, in units of the cell vectors:
Hg: 0.0000 0.0000 0.0000  4 C 2.10, 2 Be 2.17
C: 0.5000 0.0000 0.0000  2 Hg 2.10
Fe: 0.5000 0.5000 0.5000  4 Be 2.97, 8 C 3.02
C: 0.0000 0.5000 0.0000  2 Hg 2.10
Be: 0.0000 0.0000 0.5000  2 Hg 2.17

Summary:
Fermi-level density of states   3.6 states/eV/cell
DFT formation energy   2.90 eV/atom
Total moment   1.92 μB per formula unit

=====

Compound: SrBe2FeC
Source: Alexandria via LeMat-Bulk
Functional: SCAN
Structure: PBEsol geometry

Unit cell a=4.2433 b=4.8859 c=4.8859 alpha=90.00 beta=90.00 gamma=90.00
With the nearest neighbours (Å) after each atom.
Sites, in units of the cell vectors:
Be: 0.0000 0.5000 0.0000  2 Sr 2.44
Fe: 0.5000 0.5000 0.5000  8 Be 3.24, 4 C 3.45
Be: 0.0000 0.0000 0.5000  2 Sr 2.44
Sr: 0.0000 0.0000 0.0000  2 C 2.12
C: 0.5000 0.0000 0.0000  2 Sr 2.12

Summary:
Fermi-level density of states   2.8 states/eV/cell
DFT formation energy   2.91 eV/atom
Total moment   3.53 μB per formula unit

=====

Compound: BeGa2C
Source: Alexandria via LeMat-Bulk
Functional: SCAN
Structure: PBEsol geometry

Unit cell a=4.1043 b=4.1043 c=4.1043 alpha=60.00 beta=60.00 gamma=60.00
With the nearest neighbours (Å) after each atom.
Sites, in units of the cell vectors:
Ga: 0.7500 0.7500 0.7500  4 Be 2.51, 4 C 2.51
C: 0.5000 0.5000 0.5000  8 Ga 2.51
Ga: 0.2500 0.2500 0.2500  4 Be 2.51, 4 C 2.51
Be: 0.0000 0.0000 0.0000  8 Ga 2.51

Summary:
Fermi-level density of states   1.5 states/eV/cell
DFT formation energy   1.39 eV/atom
Total moment   0.00 μB per formula unit

=====

Compound: MnBe2GaC
Source: Alexandria via LeMat-Bulk
Functional: SCAN
Structure: PBEsol geometry

Unit cell a=3.4346 b=3.4346 c=4.8928 alpha=90.00 beta=90.00 gamma=90.00
With the nearest neighbours (Å) after each atom.
Sites, in units of the cell vectors:
Mn: 0.5000 0.5000 0.5000  4 Ga 2.43
Be: 0.5000 0.0000 0.0000  2 C 1.72
C: 0.0000 0.0000 0.0000  4 Be 1.72
Be: 0.0000 0.5000 0.0000  2 C 1.72
Ga: 0.0000 0.0000 0.5000  4 Mn 2.43, 2 C 2.45

Summary:
Fermi-level density of states   1.4 states/eV/cell
DFT formation energy   0.34 eV/atom
Total moment   3.67 μB per formula unit

=====

Compound: BeGaMo2C
Source: Alexandria via LeMat-Bulk
Functional: SCAN
Structure: PBEsol geometry

Unit cell a=3.1052 b=4.4037 c=4.4037 alpha=90.00 beta=90.00 gamma=90.00
With the nearest neighbours (Å) after each atom.
Sites, in units of the cell vectors:
Be: 0.0000 0.0000 0.0000  2 C 1.55
C: 0.5000 0.0000 0.0000  2 Be 1.55
Mo: 0.0000 0.5000 0.0000  2 Be 2.20
Ga: 0.5000 0.5000 0.5000  8 Mo 2.69
Mo: 0.0000 0.0000 0.5000  2 Be 2.20

Summary:
Fermi-level density of states   3.0 states/eV/cell
DFT formation energy   0.92 eV/atom
Total moment   0.00 μB per formula unit

=====

Compound: BeGa2SiC
Source: Alexandria via LeMat-Bulk
Functional: SCAN
Structure: PBEsol geometry

Unit cell a=3.2449 b=4.5118 c=4.5118 alpha=90.00 beta=90.00 gamma=90.00
With the nearest neighbours (Å) after each atom.
Sites, in units of the cell vectors:
Si: 0.5000 0.5000 0.5000  8 Ga 2.78
C: 0.0000 0.0000 0.0000  2 Be 1.62
Ga: 0.0000 0.5000 0.0000  2 C 2.26
Ga: 0.0000 0.0000 0.5000  2 C 2.26
Be: 0.5000 0.0000 0.0000  2 C 1.62

Summary:
Fermi-level density of states   1.2 states/eV/cell
Energy relative to the elements, uncorrected   12.915 kcal/mol of atoms
Total moment   0.00 μB per formula unit

=====

Compound: YBe2GeC
Source: Alexandria via LeMat-Bulk
Functional: SCAN
Structure: PBEsol geometry

Unit cell a=3.8293 b=3.8293 c=4.7227 alpha=90.00 beta=90.00 gamma=90.00
With the nearest neighbours (Å) after each atom.
Sites, in units of the cell vectors:
Y: 0.0000 0.0000 0.5000  2 C 2.36
Ge: 0.5000 0.5000 0.5000  4 Y 2.71
Be: 0.0000 0.5000 0.0000  2 C 1.91
C: 0.0000 0.0000 0.0000  4 Be 1.91
Be: 0.5000 0.0000 0.0000  2 C 1.91

Summary:
Fermi-level density of states   2.2 states/eV/cell
DFT formation energy   0.02 eV/atom
Total moment   0.00 μB per formula unit